1.
# Ta3Al10

A relaxed Ta3Al10 crystal (PBE, OQMD via LeMat-Bulk).

It has space group R-3m (No. 166, hexagonal axes), with a = 5.1762 Å, b = 5.1762 Å, c = 28.5290 Å, α = 90.00°, β = 90.00° and γ = 120.00°. The asymmetric unit holds Ta at (0.0000, 0.0000, 0.0000), Ta at (0.0000, 0.0000, 0.4553), Al at (0.0000, 0.0000, 0.1665), Al at (0.0000, 0.0000, 0.3427) and Al at (0.0006, 0.5003, 0.4139).

The value obtained for the energy above the most stable polymorph in this dataset is 139 meV/atom.

***

2.
# TaAl

A relaxed TaAl crystal (PBE, OQMD via LeMat-Bulk).

It has space group P4/mmm (No. 123), with a = 2.8293 Å, b = 2.8293 Å, c = 4.1933 Å, α = 90.00°, β = 90.00° and γ = 90.00°. The asymmetric unit holds Ta at (0.0000, 0.0000, 0.0000) and Al at (0.5000, 0.5000, 0.5000).

The calculated total energy comes out at -8.0267 eV per atom.